Entry from Alexandria: an optimized crystal structure of BeW (GGA-PBE).

Geometry as POSCAR:
```
BeW
1.0
2.718 0.004 0.000
-0.560 2.660 0.000
0.000 0.000 6.824
W Be
2 2
direct
0.500 0.500 0.208
0.000 0.000 0.542
0.000 0.000 0.958
0.500 0.500 0.792
```

Results
Total energy = -8.221 eV per atom
Symmetry = Cmme, No. 67
Magnetization = 0.00 μB/f.u.
Calculated formation energy = 0.1187 eV/atom
D(E_F) = 0.42 states/eV/atom
Polymorph energy (0 for the lowest one) = 0.346 eV/atom